An optimized crystal structure of LiBr2. Source: the Alexandria database, functional PBEsol.

Values from the calculation:
The final energy is -2.88 eV per atom. Its raw formation energy is -973.3 meV/atom. Its theoretical density is 3.74 g cm⁻³.

```
data_LiBr2
_symmetry_space_group_name_H-M 'C 1 2/m 1'
_symmetry_Int_Tables_number 12
_symmetry_space_group_name_Hall '-C 2y'
_cell_length_a 11.2290
_cell_length_b 3.8028
_cell_length_c 7.7393
_cell_angle_alpha 90.00
_cell_angle_beta 116.49
_cell_angle_gamma 90.00
loop_
_atom_site_label
_atom_site_type_symbol
_atom_site_fract_x
_atom_site_fract_y
_atom_site_fract_z
Li1 Li 0.0983 0.0000 0.3762
Br1 Br 0.0550 0.5000 0.8932
Br2 Br 0.1782 0.5000 0.6362
```